1.
CePrLuTh: relaxed, PBE.

Cell: 8.0012 8.0012 8.0012 Å, 90.00 90.00 90.00°
Space group F-43m (No. 216)
Unique sites:
Ce: 0.0000 0.0000 0.0000 [4 per cell]
Pr: 0.2500 0.2500 0.7500 [4 per cell]
Lu: 0.0000 0.0000 0.5000 [4 per cell]
Th: 0.2500 0.2500 0.2500 [4 per cell]

Results
The energy comes out at -87.20 eV/cell. As for the crystal system: cubic.

=====

2.
Sr5P2HN: relaxed, PBE.

Cell: 4.2282 17.4605 12.3735 Å, 90.00 90.00 90.00°
Space group Cmc2_1 (No. 36)
Unique sites:
Sr: 0.0000 0.0015 0.0000 [4 per cell]
Sr: 0.0000 0.1475 0.7213 [4 per cell]
Sr: 0.0000 0.1954 0.0923 [4 per cell]
Sr: 0.0000 0.2165 0.3765 [4 per cell]
Sr: 0.0000 0.4336 0.7673 [4 per cell]
P: 0.0000 0.3737 0.0190 [4 per cell]
P: 0.0000 0.3909 0.4063 [4 per cell]
H: 0.0000 0.0512 0.1833 [4 per cell]
N: 0.0000 0.2942 0.7276 [4 per cell]

Results
The energy comes out at -152.84 eV/cell. As for the crystal system: orthorhombic.

=====

3.
TaGaAg2Au: relaxed, PBE.

Cell: 4.9980 4.9980 4.6594 Å, 90.00 90.00 90.00°
Space group P4/mmm (No. 123)
Unique sites:
Ta: 0.0000 0.0000 0.0000 [1 per cell]
Ga: 0.5000 0.5000 0.0000 [1 per cell]
Ag: 0.0000 0.5000 0.5000 [2 per cell]
Au: 0.5000 0.5000 0.5000 [1 per cell]

Results
The energy comes out at -17.67 eV/cell. As for the crystal system: tetragonal.

=====

4.
Nd4PdPt: relaxed, PBE.

Cell: 7.1816 7.1694 7.1849 Å, 90.00 90.79 90.00°
Space group P2_1/c (No. 14)
Unique sites:
Nd: 0.1633 0.1655 0.1680 [4 per cell]
Nd: 0.3344 0.6640 0.1624 [4 per cell]
Pd: 0.5000 0.0000 0.0000 [2 per cell]
Pt: 0.0000 0.0000 0.5000 [2 per cell]

Results
The calculation puts the polymorph energy (0 for the lowest one) at 0.09 eV/f.u. The energy comes out at -67.42 eV/cell. As for the crystal system: monoclinic.

=====

Question: energy of number 4 (Nd4PdPt)?
Answer: -67.42 eV/cell